DFT (GGA-PBE) results for ReAu2Se after structural relaxation.

Properties
For the total magnetization, the calculation gives 0.0 μB/f.u. The uncorrected energy is -0.191 hartree per atom.

```
ReAu2Se
1.0
-2.433 -1.073 -1.087
2.408 -0.379 -1.520
1.721 -8.908 4.946
Se Re Au
1 1 2
Direct
0.500 0.500 0.697
0.000 0.000 0.506
0.000 0.000 0.026
0.500 0.500 0.271
```